No. 1
A geometry-optimized CsCdPIr structure, computed with PBE-GGA.

a b c (Å): 4.0294 4.0294 14.1852
angles (deg): 90.00 90.00 90.00
Last column: nearest neighbours and their distance in Å.
Atoms (fractional coordinates):
Cs: 0.2500 0.2500 0.2422  4 P 3.58, 4 Ir 3.98
Cs: 0.7500 0.7500 0.7578  4 P 3.58, 4 Ir 3.98
Cd: 0.2500 0.7500 0.5000  4 Cd 2.85
Cd: 0.7500 0.2500 0.5000  4 Cd 2.85
P: 0.2500 0.2500 0.9110  4 Ir 2.38
P: 0.7500 0.7500 0.0890  4 Ir 2.38
Ir: 0.2500 0.7500 0.0000  4 P 2.38
Ir: 0.7500 0.2500 0.0000  4 P 2.38


No. 2
A geometry-optimized MnBe2Ru structure, computed with PBE-GGA.

a b c (Å): 3.2805 2.9698 8.5800
angles (deg): 90.00 90.00 90.00
Last column: nearest neighbours and their distance in Å.
Atoms (fractional coordinates):
Mn: 0.0000 0.0000 0.0000  7 Be 2.31-2.42
Mn: 0.0000 0.5000 0.5000  7 Be 2.31-2.42
Be: 0.0000 0.0000 0.2766  2 Be 2.06, 4 Ru 2.31
Be: 0.0000 0.5000 0.7766  2 Be 2.06, 4 Ru 2.31
Be: 0.5000 0.0000 0.4219  2 Be 2.06
Be: 0.5000 0.5000 0.9219  2 Be 2.06
Ru: 0.5000 0.0000 0.7011  7 Be 2.31-2.41
Ru: 0.5000 0.5000 0.2011  7 Be 2.31-2.41


No. 3
A geometry-optimized BiSbSe2 structure, computed with PBE-GGA.

a b c (Å): 7.8937 7.8937 7.2102
angles (deg): 90.00 90.00 90.00
Last column: nearest neighbours and their distance in Å.
Atoms (fractional coordinates):
Bi: 0.0000 0.0000 0.0000  4 Se 2.97
Bi: 0.0000 0.5000 0.2500  4 Se 2.97
Bi: 0.5000 0.0000 0.7500  4 Se 2.97
Bi: 0.5000 0.5000 0.5000  4 Se 2.97
Sb: 0.0000 0.0000 0.5000  4 Se 2.89
Sb: 0.0000 0.5000 0.7500  4 Se 2.89
Sb: 0.5000 0.0000 0.2500  4 Se 2.89
Sb: 0.5000 0.5000 0.0000  4 Se 2.89
Se: 0.2427 0.2500 0.6250  2 Sb 2.89, 2 Bi 2.97
Se: 0.2500 0.7427 0.8750  2 Sb 2.89, 2 Bi 2.97
Se: 0.2500 0.7573 0.3750  2 Sb 2.89, 2 Bi 2.97
Se: 0.2573 0.2500 0.1250  2 Sb 2.89, 2 Bi 2.97
Se: 0.7427 0.7500 0.1250  2 Sb 2.89, 2 Bi 2.97
Se: 0.7500 0.2427 0.3750  2 Sb 2.89, 2 Bi 2.97
Se: 0.7500 0.2573 0.8750  2 Sb 2.89, 2 Bi 2.97
Se: 0.7573 0.7500 0.6250  2 Sb 2.89, 2 Bi 2.97

Results
uncorrected formation energy	-0.04	eV/atom


No. 4
A geometry-optimized Tc4Ni structure, computed with PBE-GGA.

a b c (Å): 6.0243 6.0243 3.8384
angles (deg): 90.00 90.00 90.00
Last column: nearest neighbours and their distance in Å.
Atoms (fractional coordinates):
Tc: 0.0969 0.7079 0.0000  9 Tc 2.62-2.76, 3 Ni 2.67-2.73
Tc: 0.2079 0.4031 0.5000  9 Tc 2.62-2.76, 3 Ni 2.67-2.73
Tc: 0.2921 0.0969 0.0000  9 Tc 2.62-2.76, 3 Ni 2.67-2.73
Tc: 0.4031 0.7921 0.5000  9 Tc 2.62-2.76, 3 Ni 2.67-2.73
Tc: 0.5969 0.2079 0.5000  9 Tc 2.62-2.76, 3 Ni 2.67-2.73
Tc: 0.7079 0.9031 0.0000  9 Tc 2.62-2.76, 3 Ni 2.67-2.73
Tc: 0.7921 0.5969 0.5000  9 Tc 2.62-2.76, 3 Ni 2.67-2.73
Tc: 0.9031 0.2921 0.0000  9 Tc 2.62-2.76, 3 Ni 2.67-2.73
Ni: 0.0000 0.0000 0.5000  12 Tc 2.67-2.73
Ni: 0.5000 0.5000 0.0000  12 Tc 2.67-2.73


| no. | calculated volume (Å³/atom) | final energy (eV/atom) |
| --- | --- | --- |
| 1 | 28.8 | -4.41 |
| 2 | 10.4 | -6.67 |
| 3 | 28.1 | -3.79 |
| 4 | 13.9 | -9.41 |